First-principles (GGA-PBE) data for a geometry-optimized TmMnInRh structure, as listed in the Alexandria database.

a b c (Å): 4.717 4.717 4.717
angles (deg): 60.00 60.00 60.00
Fractional coordinates of all 4 atoms:
1 Tm 0.000 0.000 0.000
2 Mn 0.750 0.750 0.750
3 In 0.500 0.500 0.500
4 Rh 0.250 0.250 0.250

space-group type = No. 216
magnetic moment = 1.01 μB per atom
crystal system = cubic
ΔE_f = -0.358 eV/atom
DFT total energy = -6.2906 eV per atom